{"formula": "KGePb", "functional": "PBE-GGA", "state": "optimized geometry", "cell": [[4.362, 0.001, -0.001], [-0.025, 6.946, -0.002], [-0.006, -2.422, 6.973]], "species": ["K", "K", "Ge", "Ge", "Pb", "Pb"], "frac_coords": [[0.171, 0.105, 0.786], [0.668, 0.654, 0.949], [0.674, 0.288, 0.512], [0.672, 0.271, 0.158], [0.171, 0.020, 0.278], [0.174, 0.550, 0.397]], "polymorph_energy_mev_per_atom": 47.5, "formation_energy_ev_per_atom": -0.071, "spacegroup": "No. 1", "dos_ef_per_ev_cell": 0.6, "m_tot_mub_per_fu": 0.000}